# TlInIO6, optimized geometry, DFT PBE
data_TlInIO6
_chemical_formula_sum 'Tl2 In2 I2 O12'
_symmetry_space_group_name_H-M 'P 1'
_symmetry_Int_Tables_number 1
_cell_length_a 5.518
_cell_length_b 5.518
_cell_length_c 10.158
_cell_angle_alpha 90.00
_cell_angle_beta 90.00
_cell_angle_gamma 120.00
loop_
_symmetry_equiv_pos_as_xyz
'x,y,z'
loop_
_atom_site_label
_atom_site_type_symbol
_atom_site_fract_x
_atom_site_fract_y
_atom_site_fract_z
Tl1 Tl 0.000 0.000 0.000
Tl2 Tl 0.000 0.000 0.500
In1 In 0.333 0.667 0.250
In2 In 0.667 0.333 0.750
I1 I 0.333 0.667 0.750
I2 I 0.667 0.333 0.250
O1 O 0.036 0.388 0.642
O2 O 0.036 0.648 0.858
O3 O 0.352 0.388 0.858
O4 O 0.352 0.964 0.642
O5 O 0.388 0.036 0.142
O6 O 0.388 0.352 0.358
O7 O 0.612 0.648 0.642
O8 O 0.612 0.964 0.858
O9 O 0.648 0.036 0.358
O10 O 0.648 0.612 0.142
O11 O 0.964 0.352 0.142
O12 O 0.964 0.612 0.358
# Symmetry = P-31c
# DFT total energy = -4.743 eV/atom
# Formation energy without anion corrections = -698.3 meV per atom
# Fermi-level density of states = 3.9 states/eV/cell
# Size of the total moment = 0.0 μB per cell